First-principles (PBE-GGA) data for a geometry-optimized La2CrMo structure, as listed in the Alexandria database.

The space group is P4/mmm (No. 123) and the conventional cell measures 3.7232, 3.7232 and 7.2080 Å, with angles of 90.00, 90.00 and 90.00 degrees. The distinct sites, in fractional coordinates, are La at (0.0000, 0.0000, 0.2428), Cr at (0.5000, 0.5000, 0.5000) and Mo at (0.5000, 0.5000, 0.0000).

The energy relative to the elements is 0.604 eV per atom. The distance to the lowest polymorph of the same formula comes out at 96 kJ/mol of formula units.